Here is a relaxed structure of PrSbSe3 from the Alexandria database. Energies are from PBE.

a = 4.2280 Å, b = 7.4143 Å, c = 11.2020 Å
α = 109.33°, β = 90.00°, γ = 90.00°
Last column: nearest neighbours and their distance in Å.
Positions (direct):
Se 0.2500 0.4637 0.8229  2 Sb 2.78, 1 Pr 3.04
Se 0.7500 0.6408 0.1771  2 Sb 2.78, 1 Pr 3.04
Se 0.2500 0.6274 0.4992  3 Pr 3.02-3.03, 3 Sb 3.21-3.23
Se 0.7500 0.9379 0.8182  1 Sb 2.67, 2 Pr 2.95
Se 0.2500 0.1197 0.1818  1 Sb 2.67, 2 Pr 2.95
Se 0.7500 0.1282 0.5008  3 Pr 3.02-3.03, 3 Sb 3.21-3.23
Pr 0.2500 0.0407 0.6682  6 Se 2.95-3.04
Pr 0.7500 0.3725 0.3318  6 Se 2.95-3.04
Sb 0.7500 0.5616 0.6959  3 Se 2.67-2.78
Sb 0.2500 0.8657 0.3041  3 Se 2.67-2.78

Space group = Ama2, No. 40
Energy relative to the elements, uncorrected = -5.1 eV/f.u.



Here is a relaxed structure of Pr3SbSe3 from the Alexandria database. Energies are from PBE.

a = 8.6383 Å, b = 8.6383 Å, c = 8.7322 Å
α = 60.36°, β = 60.36°, γ = 60.00°
Last column: nearest neighbours and their distance in Å.
Positions (direct):
Se 0.6248 0.1727 0.3254  4 Pr 2.95-3.02
Se 0.8273 0.1229 0.6746  4 Pr 2.95-3.02
Se 0.3752 0.8273 0.6746  4 Pr 2.95-3.02
Se 0.1229 0.3752 0.6746  4 Pr 2.95-3.02
Se 0.1727 0.8771 0.3254  4 Pr 2.95-3.02
Se 0.8771 0.6248 0.3254  4 Pr 2.95-3.02
Pr 0.0751 0.7113 0.7369  4 Se 2.95-3.02, 1 Sb 3.23
Pr 0.9249 0.2887 0.2631  4 Se 2.95-3.02, 1 Sb 3.23
Pr 0.2887 0.5234 0.2631  4 Se 2.95-3.02, 1 Sb 3.23
Pr 0.5234 0.9249 0.2631  4 Se 2.95-3.02, 1 Sb 3.23
Pr 0.4766 0.0751 0.7369  4 Se 2.95-3.02, 1 Sb 3.23
Pr 0.7113 0.4766 0.7369  4 Se 2.95-3.02, 1 Sb 3.23
Sb 0.3347 0.3347 0.9959  6 Pr 3.23-3.34
Sb 0.6653 0.6653 0.0041  6 Pr 3.23-3.34

Space group = R-3, No. 148
Energy relative to the elements, uncorrected = -11.0 eV/f.u.



Here is a relaxed structure of Pr4Sb2Se from the Alexandria database. Energies are from PBE.

a = 8.1687 Å, b = 8.1688 Å, c = 8.1688 Å
α = 110.17°, β = 108.08°, γ = 110.17°
Last column: nearest neighbours and their distance in Å.
Positions (direct):
Pr 0.2561 0.2363 0.8762  1 Se 3.00, 2 Sb 3.17
Pr 0.6399 0.7637 0.0198  1 Se 3.00, 2 Sb 3.17
Pr 0.4939 0.1201 0.2302  1 Se 3.00, 2 Sb 3.17
Pr 0.7698 0.2637 0.8899  1 Se 3.00, 2 Sb 3.17
Pr 0.6262 0.7363 0.5061  1 Se 3.00, 2 Sb 3.17
Pr 0.1238 0.3799 0.3601  1 Se 3.00, 2 Sb 3.17
Pr 0.1101 0.8799 0.3738  1 Se 3.00, 2 Sb 3.17
Pr 0.9802 0.6201 0.7439  1 Se 3.00, 2 Sb 3.17
Sb 0.4910 0.3660 0.6250  8 Pr 3.17-3.42
Sb 0.8750 0.1340 0.5090  8 Pr 3.17-3.42
Sb 0.2590 0.6340 0.1250  8 Pr 3.17-3.42
Sb 0.3750 0.8660 0.7410  8 Pr 3.17-3.42
Se 0.7500 0.5000 0.2500  4 Pr 3.00
Se 0.0000 0.0000 0.0000  4 Pr 3.00

Space group = I-42d, No. 122
Energy relative to the elements, uncorrected = -8.4 eV/f.u.



Here is a relaxed structure of Pr7SbSe5 from the Alexandria database. Energies are from PBE.

a = 4.2664 Å, b = 7.3206 Å, c = 25.2912 Å
α = 89.99°, β = 90.00°, γ = 106.94°
Last column: nearest neighbours and their distance in Å.
Positions (direct):
Pr 0.6379 0.2758 0.4626  6 Se 2.93-3.03
Pr 0.1878 0.3756 0.3224  3 Se 2.96-3.01, 2 Sb 3.29
Pr 0.1874 0.3749 0.1776  3 Se 2.97-3.01, 2 Sb 3.29
Pr 0.3625 0.7250 0.5374  6 Se 2.93-3.03
Pr 0.4760 0.9521 0.2500  2 Se 2.91, 2 Sb 3.16
Pr 0.0929 0.1857 0.6156  5 Se 3.00-3.20
Pr 0.3629 0.7257 0.9626  6 Se 2.93-3.03
Pr 0.6379 0.2758 0.0374  6 Se 2.93-3.03
Pr 0.5245 0.0491 0.7500  2 Se 2.91, 2 Sb 3.16
Pr 0.8132 0.6264 0.8224  3 Se 2.97-3.01, 2 Sb 3.29
Pr 0.9076 0.8151 0.3844  5 Se 3.00-3.20
Pr 0.9072 0.8144 0.1157  5 Se 3.00-3.20
Pr 0.8127 0.6253 0.6776  3 Se 2.96-3.01, 2 Sb 3.29
Pr 0.0934 0.1869 0.8843  5 Se 3.00-3.20
Se 0.0004 0.0007 0.0000  6 Pr 3.03-3.20
Se 0.7244 0.4488 0.9288  6 Pr 2.97-3.03
Se 0.4507 0.9014 0.8576  6 Pr 2.91-3.01
Se 0.2765 0.5529 0.4288  6 Pr 2.96-3.03
Se 0.0002 0.0004 0.5000  6 Pr 3.03-3.20
Se 0.7240 0.4479 0.5712  6 Pr 2.96-3.03
Se 0.4501 0.9003 0.6425  6 Pr 2.91-3.01
Se 0.5503 0.1007 0.3575  6 Pr 2.91-3.01
Se 0.2764 0.5527 0.0712  6 Pr 2.97-3.03
Se 0.5500 0.1000 0.1424  6 Pr 2.91-3.01
Sb 0.8093 0.6187 0.2498  6 Pr 3.16-3.29
Sb 0.1912 0.3825 0.7502  6 Pr 3.16-3.29

Space group = C2/m, No. 12
Energy relative to the elements, uncorrected = -20.9 eV/f.u.



Here is a relaxed structure of Pr2SbSe from the Alexandria database. Energies are from PBE.

a = 4.3204 Å, b = 4.3204 Å, c = 8.0918 Å
α = 74.52°, β = 74.52°, γ = 60.00°
Last column: nearest neighbours and their distance in Å.
Positions (direct):
Pr 0.0827 0.0827 0.7520  3 Sb 3.13, 3 Se 3.14
Pr 0.2511 0.2511 0.2466  3 Sb 3.15, 3 Se 3.19
Sb 0.6676 0.6676 0.9973  6 Pr 3.13-3.15
Se 0.4987 0.4987 0.5040  6 Pr 3.14-3.19

Space group = R3m, No. 160
Energy relative to the elements, uncorrected = -5.7 eV/f.u.



Here is a relaxed structure of Pr4SbSe3 from the Alexandria database. Energies are from PBE.

a = 4.3412 Å, b = 7.5272 Å, c = 7.5272 Å
α = 70.60°, β = 90.00°, γ = 90.00°
Last column: nearest neighbours and their distance in Å.
Positions (direct):
Pr 0.0000 0.7605 0.7396  4 Se 3.01-3.07, 2 Sb 3.14
Pr 0.0000 0.2397 0.2603  4 Se 3.01-3.07, 2 Sb 3.14
Pr 0.4998 0.2450 0.7449  5 Se 3.01-3.07, 1 Sb 3.13
Pr 0.5001 0.7552 0.2551  5 Se 3.01-3.07, 1 Sb 3.13
Se 0.5000 0.0001 0.4999  6 Pr 3.01
Se 0.9999 0.0001 0.0000  6 Pr 3.07
Se 0.9999 0.5001 0.5000  6 Pr 3.07
Sb 0.5000 0.5001 0.0000  6 Pr 3.13-3.14

Space group = Cmmm, No. 65
Energy relative to the elements, uncorrected = -13.4 eV/f.u.



Here is a relaxed structure of PrSb2Se4 from the Alexandria database. Energies are from PBE.

a = 6.6629 Å, b = 6.6629 Å, c = 6.6629 Å
α = 109.42°, β = 109.42°, γ = 109.58°
Last column: nearest neighbours and their distance in Å.
Positions (direct):
Pr 0.5000 0.5000 0.0000  4 Se 2.94
Sb 0.2500 0.7500 0.5000  4 Se 2.84
Sb 0.7500 0.2500 0.5000  4 Se 2.84
Se 0.7052 0.8221 0.5273  2 Sb 2.84, 1 Pr 2.94
Se 0.2948 0.1779 0.4727  2 Sb 2.84, 1 Pr 2.94
Se 0.1779 0.7052 0.8832  2 Sb 2.84, 1 Pr 2.94
Se 0.8221 0.2948 0.1168  2 Sb 2.84, 1 Pr 2.94

Space group = I4/m, No. 87
Energy relative to the elements, uncorrected = -2.8 eV/f.u.



Here is a relaxed structure of Pr2SbSe5 from the Alexandria database. Energies are from PBE.

a = 5.6859 Å, b = 7.8270 Å, c = 13.7727 Å
α = 90.00°, β = 90.00°, γ = 111.30°
Last column: nearest neighbours and their distance in Å.
Positions (direct):
Se 0.2943 0.5886 0.0934  1 Sb 2.90, 3 Pr 2.94-3.00
Se 0.7158 0.4316 0.2500  2 Sb 2.95, 2 Pr 3.07
Se 0.7057 0.4114 0.5934  1 Sb 2.90, 3 Pr 2.94-3.00
Se 0.9590 0.9179 0.8958  1 Sb 2.67, 2 Pr 2.95-2.96
Se 0.2842 0.5684 0.7500  2 Sb 2.95, 2 Pr 3.07
Se 0.0410 0.0821 0.3958  1 Sb 2.67, 2 Pr 2.95-2.96
Se 0.7057 0.4114 0.9066  1 Sb 2.90, 3 Pr 2.94-3.00
Se 0.0410 0.0821 0.1042  1 Sb 2.67, 2 Pr 2.95-2.96
Se 0.2943 0.5886 0.4066  1 Sb 2.90, 3 Pr 2.94-3.00
Se 0.9590 0.9179 0.6042  1 Sb 2.67, 2 Pr 2.95-2.96
Sb 0.8384 0.6769 0.7500  6 Se 2.67-2.95
Sb 0.1616 0.3231 0.2500  6 Se 2.67-2.95
Pr 0.1589 0.3178 0.9292  6 Se 2.94-3.07
Pr 0.8411 0.6822 0.4292  6 Se 2.94-3.07
Pr 0.8411 0.6822 0.0708  6 Se 2.94-3.07
Pr 0.1589 0.3178 0.5708  6 Se 2.94-3.07

Space group = Cmcm, No. 63
Energy relative to the elements, uncorrected = -9.0 eV/f.u.



Here is a relaxed structure of PrSbSe from the Alexandria database. Energies are from PBE.

a = 4.2407 Å, b = 4.2407 Å, c = 9.7682 Å
α = 102.54°, β = 102.54°, γ = 90.00°
Last column: nearest neighbours and their distance in Å.
Positions (direct):
Sb 0.5000 0.0000 0.0000  4 Sb 3.00
Sb 0.0000 0.5000 0.0000  4 Sb 3.00
Se 0.1867 0.1867 0.3733  5 Pr 3.06-3.08
Se 0.8133 0.8133 0.6267  5 Pr 3.06-3.08
Pr 0.3512 0.3512 0.7025  5 Se 3.06-3.08
Pr 0.6488 0.6488 0.2975  5 Se 3.06-3.08

Space group = I4/mmm, No. 139
Energy relative to the elements, uncorrected = -4.1 eV/f.u.



Here is a relaxed structure of PrSbSe2 from the Alexandria database. Energies are from PBE.

a = 4.0703 Å, b = 4.0703 Å, c = 9.4462 Å
α = 77.56°, β = 77.56°, γ = 60.00°
Last column: nearest neighbours and their distance in Å.
Positions (direct):
Pr 0.0000 0.0000 0.0000  2 Se 2.93
Se 0.1067 0.1067 0.6800  3 Sb 2.87, 1 Pr 2.93
Se 0.8933 0.8933 0.3200  3 Sb 2.87, 1 Pr 2.93
Sb 0.5000 0.5000 0.5000  6 Se 2.87

Space group = R-3m, No. 166
Energy relative to the elements, uncorrected = -1.5 eV/f.u.